Record 1
A plane-wave DFT calculation with PBE was carried out for a geometry-optimized Pb2C structure.

Its total DFT energy (no corrections) is -4.402 eV per atom. For the energy above the lowest structure with this stoichiometry, the calculation gives 101 meV/atom. As for the volume: 23.77 Å³ per atom. The calculation puts the formation energy at 3.4 eV/f.u.

The structure belongs to space group Cmcm (No. 63); the cell edges are 3.598, 13.447 and 5.896 Å and the angles 90.00°, 90.00° and 90.00°. The asymmetric unit holds Pb at (0.000, 0.062, 0.250), Pb at (0.000, 0.309, 0.250) and C at (0.000, 0.320, 0.750).

Record 2
A plane-wave DFT calculation with PBE was carried out for a geometry-optimized BaAl2SbPb structure.

Its total DFT energy (no corrections) is -3.164 eV per atom. Its formation energy without anion corrections is 0.28 eV/atom. As for the volume: 36.54 Å³ per atom.

The structure belongs to space group P4/mmm (No. 123); the cell edges are 5.455, 5.455 and 6.139 Å and the angles 90.00°, 90.00° and 90.00°. The asymmetric unit holds Ba at (0.000, 0.000, 0.000), Al at (0.000, 0.500, 0.500), Sb at (0.500, 0.500, 0.000) and Pb at (0.500, 0.500, 0.500).

Record 3
A plane-wave DFT calculation with PBE was carried out for a geometry-optimized NdHo2Pb structure.

Its total DFT energy (no corrections) is -4.356 eV per atom. For the energy above the lowest structure with this stoichiometry, the calculation gives 359 meV/atom. As for the volume: 32.99 Å³ per atom. The calculation puts the formation energy at 0.2 eV/f.u.

The structure belongs to space group R-3m (No. 166, hexagonal axes); the cell edges are 3.5517, 3.5517 and 36.2353 Å and the angles 90.00°, 90.00° and 120.00°. The asymmetric unit holds Nd at (0.0000, 0.0000, 0.0000), Ho at (0.0000, 0.0000, 0.4128) and Pb at (0.0000, 0.0000, 0.5000).